Here is Li2VFeP2O8F2 after structural relaxation from Alexandria via LeMat-Bulk. Energies are from GGA+U.

a = 5.2276 Å, b = 5.3724 Å, c = 7.4126 Å
α = 106.82°, β = 108.67°, γ = 97.88°
Space group P-1 (No. 2)
One atom of each set of equivalent atoms:
Li1 0.2265 0.3819 0.3164 (multiplicity 2)
V1 0.5000 0.0000 0.5000 (multiplicity 1)
Fe1 0.5000 0.0000 0.0000 (multiplicity 1)
P1 0.1787 0.3591 0.7367 (multiplicity 2)
O1 0.1308 0.7534 0.4151 (multiplicity 2)
O2 0.1933 0.6589 0.8410 (multiplicity 2)
O3 0.2530 0.2115 0.8871 (multiplicity 2)
O4 0.3703 0.3346 0.6097 (multiplicity 2)
F1 0.3683 0.0713 0.2338 (multiplicity 2)

Summary:
volume = 11.41 A^3/atom
total magnetization = 7.00 μB per formula unit
DOS at the Fermi energy = 0.0000 states/eV/atom
raw total energy = -6.77 eV/atom